Entry 1:
## MnAl2Zn (PBE)

Data for MnAl2Zn after structural relaxation.

a b c (Å): 4.709 4.709 4.709
angles (deg): 133.08 133.08 68.53
Fractional coordinates of all 4 atoms:
Mn 0.000 0.000 0.000
Al 0.250 0.750 0.500
Al 0.750 0.250 0.500
Zn 0.500 0.500 0.000

The space group is I4/mmm, No. 139. The crystal system is tetragonal.


Entry 2:
## MgBeMoOs2 (PBE)

Data for MgBeMoOs2 after structural relaxation.

a b c (Å): 4.201 4.201 4.199
angles (deg): 90.00 90.00 90.00
Fractional coordinates of all 5 atoms:
Mg 0.000 0.000 0.000
Be 0.500 0.500 0.500
Mo 0.500 0.500 0.000
Os 0.000 0.500 0.500
Os 0.500 0.000 0.500

The space group is P4/mmm, No. 123. The crystal system is tetragonal.


Entry 3:
## Sc2WC (PBE)

Data for Sc2WC after structural relaxation.

a b c (Å): 8.346 8.346 8.346
angles (deg): 21.52 21.52 21.52
Fractional coordinates of all 4 atoms:
Sc 0.115 0.115 0.115
Sc 0.885 0.885 0.885
W 0.000 0.000 0.000
C 0.500 0.500 0.500

The space group is R-3m, No. 166. The crystal system is trigonal.


Entry 4:
## AlGaPdAu (PBE)

Data for AlGaPdAu after structural relaxation.

a b c (Å): 4.474 4.474 4.474
angles (deg): 60.00 60.00 60.00
Fractional coordinates of all 4 atoms:
Al 0.000 0.000 0.000
Ga 0.500 0.500 0.500
Pd 0.750 0.750 0.750
Au 0.250 0.250 0.250

The space group is F-43m, No. 216. The crystal system is cubic.


Formation energy from the elements: -0.15, 0.67, 0.30, -0.42 (eV/atom)